No. 1
Density functional theory data (PBE-GGA) for an optimized crystal structure of MnCr3.

Cell: 2.8411 4.0270 8.0081 Å, 90.00 90.00 90.00°
Space group Cmmm (No. 65)
One atom of each set of equivalent atoms:
Mn (0.0000, 0.0000, 0.0000) (multiplicity 2)
Cr (0.0000, 0.0000, 0.5000) (multiplicity 2)
Cr (0.0000, 0.5000, 0.2486) (multiplicity 4)

Output
Energy of formation from the pure elements   0.033 eV/atom

No. 2
Density functional theory data (PBE-GGA) for an optimized crystal structure of MnCr2.

Cell: 5.3835 5.3835 5.3835 Å, 90.00 90.00 90.00°
Space group Pa-3 (No. 205)
One atom of each set of equivalent atoms:
Mn (0.0000, 0.0000, 0.0000) (multiplicity 4)
Cr (0.1299, 0.6299, 0.8701) (multiplicity 8)

Output
Energy of formation from the pure elements   0.913 eV/atom

No. 3
Density functional theory data (PBE-GGA) for an optimized crystal structure of MnCr3.

Cell: 2.8333 3.9994 8.0212 Å, 90.00 90.00 90.00°
Space group Immm (No. 71)
One atom of each set of equivalent atoms:
Mn (0.0000, 0.0000, 0.0000) (multiplicity 2)
Cr (0.0000, 0.0000, 0.5000) (multiplicity 2)
Cr (0.0000, 0.5000, 0.2462) (multiplicity 4)

Output
Energy of formation from the pure elements   0.023 eV/atom

No. 4
Density functional theory data (PBE-GGA) for an optimized crystal structure of MnCr2.

Cell: 2.6206 4.0389 13.7473 Å, 90.00 90.00 90.00°
Space group Imma (No. 74)
One atom of each set of equivalent atoms:
Mn (0.0000, 0.2500, 0.1802) (multiplicity 4)
Cr (0.0000, 0.2500, 0.4671) (multiplicity 4)
Cr (0.0000, 0.2500, 0.6680) (multiplicity 4)

Output
Energy of formation from the pure elements   0.499 eV/atom

No. 5
Density functional theory data (PBE-GGA) for an optimized crystal structure of Mn2Cr.

Cell: 2.4375 13.2684 4.1270 Å, 90.00 90.00 90.00°
Space group Cmcm (No. 63)
One atom of each set of equivalent atoms:
Mn (0.0000, 0.0485, 0.2500) (multiplicity 4)
Mn (0.0000, 0.3885, 0.2500) (multiplicity 4)
Cr (0.0000, 0.2851, 0.7500) (multiplicity 4)

Output
Energy of formation from the pure elements   0.175 eV/atom

No. 6
Density functional theory data (PBE-GGA) for an optimized crystal structure of Mn5Cr.

Cell: 6.5172 6.5172 6.5172 Å, 90.00 90.00 90.00°
Space group F-43m (No. 216)
One atom of each set of equivalent atoms:
Mn (0.0000, 0.0000, 0.0000) (multiplicity 4)
Mn (0.1256, 0.1256, 0.3744) (multiplicity 16)
Cr (0.2500, 0.2500, 0.7500) (multiplicity 4)

Output
Energy of formation from the pure elements   0.119 eV/atom

No. 7
Density functional theory data (PBE-GGA) for an optimized crystal structure of MnCr3.

Cell: 3.3928 3.3928 16.3595 Å, 90.00 90.00 90.00°
Space group I4/mmm (No. 139)
One atom of each set of equivalent atoms:
Mn (0.0000, 0.0000, 0.1257) (multiplicity 4)
Cr (0.0000, 0.0000, 0.3762) (multiplicity 4)
Cr (0.0000, 0.5000, 0.0000) (multiplicity 4)
Cr (0.0000, 0.5000, 0.2500) (multiplicity 4)

Output
Energy of formation from the pure elements   0.247 eV/atom

No. 8
Density functional theory data (PBE-GGA) for an optimized crystal structure of Mn4Cr.

Cell: 4.2803 4.2803 4.2803 Å, 90.00 90.00 90.00°
Space group Pm-3m (No. 221)
One atom of each set of equivalent atoms:
Mn (0.0000, 0.0000, 0.0000) (multiplicity 1)
Mn (0.0000, 0.5000, 0.5000) (multiplicity 3)
Cr (0.5000, 0.5000, 0.5000) (multiplicity 1)

Output
Offset from the most stable computed form   0.892 eV per atom
Energy of formation from the pure elements   1.019 eV/atom

No. 9
Density functional theory data (PBE-GGA) for an optimized crystal structure of MnCr5.

Cell: 8.9746 2.8394 5.6811 Å, 90.00 108.61 90.00°
Space group C2/m (No. 12)
One atom of each set of equivalent atoms:
Mn (0.0000, 0.0000, 0.0000) (multiplicity 2)
Cr (0.0000, 0.0000, 0.5000) (multiplicity 2)
Cr (0.1664, 0.5000, 0.3337) (multiplicity 4)
Cr (0.1686, 0.5000, 0.8336) (multiplicity 4)

Output
Energy of formation from the pure elements   0.016 eV/atom

No. 10
Density functional theory data (PBE-GGA) for an optimized crystal structure of Mn2Cr.

Cell: 3.9452 3.9452 2.8005 Å, 90.00 90.00 90.00°
Space group P4/mmm (No. 123)
One atom of each set of equivalent atoms:
Mn (0.0000, 0.5000, 0.0000) (multiplicity 2)
Cr (0.0000, 0.0000, 0.5000) (multiplicity 1)

Output
Energy of formation from the pure elements   0.610 eV/atom

No. 11
Density functional theory data (PBE-GGA) for an optimized crystal structure of Mn2Cr.

Cell: 5.5419 5.5419 5.5419 Å, 90.00 90.00 90.00°
Space group Fm-3m (No. 225)
One atom of each set of equivalent atoms:
Mn (0.2500, 0.2500, 0.2500) (multiplicity 8)
Cr (0.0000, 0.0000, 0.0000) (multiplicity 4)

Output
Energy of formation from the pure elements   0.563 eV/atom

No. 12
Density functional theory data (PBE-GGA) for an optimized crystal structure of MnCr5.

Cell: 6.6487 6.6487 6.6487 Å, 90.00 90.00 90.00°
Space group F-43m (No. 216)
One atom of each set of equivalent atoms:
Mn (0.0000, 0.0000, 0.0000) (multiplicity 4)
Cr (0.1251, 0.1251, 0.6251) (multiplicity 16)
Cr (0.2500, 0.2500, 0.2500) (multiplicity 4)

Output
Energy of formation from the pure elements   0.209 eV/atom

No. 13
Density functional theory data (PBE-GGA) for an optimized crystal structure of MnCr2.

Cell: 3.8529 3.8529 2.7091 Å, 90.00 90.00 90.00°
Space group P4/mmm (No. 123)
One atom of each set of equivalent atoms:
Mn (0.0000, 0.0000, 0.0000) (multiplicity 1)
Cr (0.0000, 0.5000, 0.5000) (multiplicity 2)

Output
Energy of formation from the pure elements   0.781 eV/atom

Let's list magnetization in order: 1.1; 0.0; 0.0; 0.2; 0.0; 1.0; 1.3; 1.4; 0.0; 3.4; 3.1; 4.0; 1.0 μB/f.u..